DFT (PBE) results for a geometry-optimized EuLuMgAl structure.

abc: 5.2773 5.2773 5.2773
angles: 60.00 60.00 60.00
Last column: magnetic moment on the atom in μB.
Atoms (fractional coordinates):
Al  0.2500  0.2500  0.2500  0.02
Eu  0.5000  0.5000  0.5000  -6.83
Lu  0.0000  0.0000  0.0000  -0.08
Mg  0.7500  0.7500  0.7500  -0.01

energy = -20.8 eV per cell
total moment = 7.3 Bohr magnetons per cell
symmetry = No. 216
ΔH_f (0 K) = -175 meV/atom
volume = 26.0 Å³ per atom



DFT (PBE) results for a geometry-optimized NaEuLuAl structure.

abc: 5.3903 5.3903 5.3903
angles: 60.00 60.00 60.00
Last column: magnetic moment on the atom in μB.
Atoms (fractional coordinates):
Al  0.5000  0.5000  0.5000  -0.02
Lu  0.7500  0.7500  0.7500  0.07
Na  0.0000  0.0000  0.0000  0.01
Eu  0.2500  0.2500  0.2500  6.86

energy = -19.8 eV per cell
total moment = 7.2 Bohr magnetons per cell
symmetry = No. 216
ΔH_f (0 K) = 23 meV/atom
volume = 27.7 Å³ per atom



DFT (PBE) results for a geometry-optimized NdEuLuAl structure.

abc: 5.4322 5.4322 5.4322
angles: 60.00 60.00 60.00
Last column: magnetic moment on the atom in μB.
Atoms (fractional coordinates):
Lu  0.0000  0.0000  0.0000  0.12
Al  0.2500  0.2500  0.2500  -0.02
Nd  0.5000  0.5000  0.5000  0.10
Eu  0.7500  0.7500  0.7500  6.89

energy = -23.4 eV per cell
total moment = 7.4 Bohr magnetons per cell
symmetry = No. 216
ΔH_f (0 K) = -14 meV/atom
volume = 28.3 Å³ per atom



DFT (PBE) results for a geometry-optimized EuLuAlPb structure.

abc: 5.3375 5.3375 5.3375
angles: 60.00 60.00 60.00
Last column: magnetic moment on the atom in μB.
Atoms (fractional coordinates):
Eu  0.2500  0.2500  0.2500  6.81
Al  0.0000  0.0000  0.0000  -0.01
Lu  0.7500  0.7500  0.7500  0.06
Pb  0.5000  0.5000  0.5000  -0.01

energy = -23.4 eV per cell
total moment = 7.1 Bohr magnetons per cell
symmetry = No. 216
ΔH_f (0 K) = -290 meV/atom
volume = 26.9 Å³ per atom



DFT (PBE) results for a geometry-optimized EuLuAlPd structure.

abc: 5.0854 5.0854 5.0854
angles: 60.00 60.00 60.00
Last column: magnetic moment on the atom in μB.
Atoms (fractional coordinates):
Pd  0.0000  0.0000  0.0000  0.00
Eu  0.2500  0.2500  0.2500  6.74
Al  0.5000  0.5000  0.5000  -0.01
Lu  0.7500  0.7500  0.7500  -0.01

energy = -25.5 eV per cell
total moment = 6.9 Bohr magnetons per cell
symmetry = No. 216
ΔH_f (0 K) = -454 meV/atom
volume = 23.2 Å³ per atom



DFT (PBE) results for a geometry-optimized SmEuLuAl structure.

abc: 5.4039 5.4039 5.4039
angles: 60.00 60.00 60.00
Last column: magnetic moment on the atom in μB.
Atoms (fractional coordinates):
Sm  0.2500  0.2500  0.2500  0.10
Lu  0.7500  0.7500  0.7500  0.11
Eu  0.5000  0.5000  0.5000  6.87
Al  0.0000  0.0000  0.0000  -0.02

energy = -23.3 eV per cell
total moment = 7.4 Bohr magnetons per cell
symmetry = No. 216
ΔH_f (0 K) = -13 meV/atom
volume = 27.9 Å³ per atom



DFT (PBE) results for a geometry-optimized EuLuAlSn structure.

abc: 5.2648 5.2648 5.2648
angles: 60.00 60.00 60.00
Last column: magnetic moment on the atom in μB.
Atoms (fractional coordinates):
Al  0.7500  0.7500  0.7500  0.00
Lu  0.0000  0.0000  0.0000  -0.07
Sn  0.2500  0.2500  0.2500  0.01
Eu  0.5000  0.5000  0.5000  -6.79

energy = -24.1 eV per cell
total moment = 7.1 Bohr magnetons per cell
symmetry = No. 216
ΔH_f (0 K) = -393 meV/atom
volume = 25.8 Å³ per atom



DFT (PBE) results for a geometry-optimized EuLuAlTl structure.

abc: 5.3169 5.3169 5.3169
angles: 60.00 60.00 60.00
Last column: magnetic moment on the atom in μB.
Atoms (fractional coordinates):
Eu  0.7500  0.7500  0.7500  -6.80
Tl  0.0000  0.0000  0.0000  0.00
Al  0.5000  0.5000  0.5000  0.01
Lu  0.2500  0.2500  0.2500  -0.03

energy = -22.0 eV per cell
total moment = 7.0 Bohr magnetons per cell
symmetry = No. 216
ΔH_f (0 K) = -268 meV/atom
volume = 26.6 Å³ per atom